# Na2TlNiBr

A relaxed Na2TlNiBr crystal (PBE, the Alexandria database).

POSCAR file:
```
Na2TlNiBr
1.0
5.392 0.000 0.000
0.000 5.392 0.000
0.000 0.000 5.038
Na Tl Ni Br
2 1 1 1
direct
0.000 0.500 0.000
0.500 0.000 0.000
0.000 0.000 0.500
0.000 0.000 0.000
0.500 0.500 0.500
```

The value obtained for the total magnetization is 0.000 μB per atom. As for the formation energy without anion corrections: -0.155 eV/atom. The crystal system is tetragonal. The density comes out at 4.41 g/cm3.

***

# Ac5Pd2Au

A relaxed Ac5Pd2Au crystal (PBE, the Alexandria database).

POSCAR file:
```
Ac5Pd2Au
1.0
8.427 -4.210 0.000
8.427 4.210 0.000
-4.213 0.000 7.311
Ac Pd Au
10 4 2
direct
0.000 0.500 0.500
0.021 0.196 0.022
0.196 0.021 0.522
0.304 0.479 0.304
0.479 0.304 0.804
0.500 0.000 0.000
0.521 0.696 0.196
0.696 0.521 0.696
0.804 0.979 0.478
0.979 0.804 0.978
0.130 0.370 0.871
0.370 0.130 0.371
0.630 0.870 0.629
0.870 0.630 0.129
0.250 0.750 0.750
0.750 0.250 0.250
```

The value obtained for the total magnetization is 0.000 μB per atom. The total energy comes out at -77.4 eV per cell. The crystal system is monoclinic. The density comes out at 9.89 g/cm3.